A plane-wave DFT calculation with GGA-PBE was carried out for a relaxed In2FeCoP crystal.

Formation energy = 931 meV/atom

Cell lengths 4.8782, 4.2166, 4.8782 Å; angles 90.00, 90.00, 90.00 degrees
Fractional coordinates of all 5 atoms:
Co1 0.0000 0.5000 0.0000
In1 0.0000 0.0000 0.5000
In2 0.5000 0.0000 0.0000
Fe1 0.0000 0.0000 0.0000
P1 0.5000 0.5000 0.5000